Record 1
Entry from Alexandria: crystalline NaMnSnO4 at its relaxed geometry (PBE with a Hubbard U). Values from VASP.

Structure (Quantum ESPRESSO input):
```
&SYSTEM
  ibrav = 0, nat = 14, ntyp = 4
/
ATOMIC_SPECIES
Na 22.99 Na.upf
Mn 54.94 Mn.upf
Sn 118.71 Sn.upf
O 16.00 O.upf
CELL_PARAMETERS angstrom
-3.043 3.208 4.513
3.043 -3.208 4.513
3.043 3.208 -4.513
ATOMIC_POSITIONS crystal
Na 0.385 0.135 0.250
Na 0.615 0.865 0.750
Mn 0.000 0.000 0.500
Mn 0.000 0.500 0.000
Sn 0.000 0.500 0.500
Sn 0.500 0.500 0.000
O 0.188 0.733 0.455
O 0.223 0.267 0.955
O 0.230 0.253 0.524
O 0.230 0.706 0.976
O 0.770 0.294 0.024
O 0.770 0.747 0.476
O 0.777 0.733 0.045
O 0.812 0.267 0.545
```

=====

Record 2
! PBE with a Hubbard U Na2MnSnO4, relaxed; values from VASP
&SYSTEM
  ibrav = 0, nat = 8, ntyp = 4
/
ATOMIC_SPECIES
Na 22.99 Na.upf
Mn 54.94 Mn.upf
Sn 118.71 Sn.upf
O 16.00 O.upf
CELL_PARAMETERS angstrom
5.606 0.000 0.000
0.000 3.224 0.000
-1.872 0.000 5.489
ATOMIC_POSITIONS crystal
Na 0.000 0.000 0.000
Na 0.500 0.500 0.000
Mn 0.000 0.500 0.500
Sn 0.500 0.000 0.500
O 0.256 0.000 0.704
O 0.276 0.500 0.286
O 0.724 0.500 0.714
O 0.744 0.000 0.296
! DOS at the Fermi energy ... 0.02 states/eV/cell

=====

Record 3
Entry from Alexandria: crystalline Na2Mn3SnO6 at its relaxed geometry (PBE with a Hubbard U). Values from VASP.

Structure (Quantum ESPRESSO input):
```
&SYSTEM
  ibrav = 0, nat = 12, ntyp = 4
/
ATOMIC_SPECIES
Na 22.99 Na.upf
Mn 54.94 Mn.upf
Sn 118.71 Sn.upf
O 16.00 O.upf
CELL_PARAMETERS angstrom
2.833 -4.852 0.000
2.833 4.852 0.000
-1.952 0.000 5.195
ATOMIC_POSITIONS crystal
Na 0.167 0.833 0.000
Na 0.833 0.167 0.000
Mn 0.000 0.000 0.500
Mn 0.332 0.668 0.500
Mn 0.668 0.332 0.500
Sn 0.500 0.500 0.000
O 0.109 0.413 0.737
O 0.286 0.286 0.241
O 0.413 0.109 0.737
O 0.587 0.891 0.263
O 0.714 0.714 0.759
O 0.891 0.587 0.263
```

=====

Record 4
! PBE with a Hubbard U Na2SrMnO4, relaxed; values from VASP
&SYSTEM
  ibrav = 0, nat = 16, ntyp = 4
/
ATOMIC_SPECIES
Na 22.99 Na.upf
Sr 87.62 Sr.upf
Mn 54.94 Mn.upf
O 16.00 O.upf
CELL_PARAMETERS angstrom
5.361 -4.127 0.000
5.361 4.127 0.000
-4.246 0.000 5.248
ATOMIC_POSITIONS crystal
Na 0.000 0.000 0.000
Na 0.000 0.000 0.500
Na 0.000 0.500 0.000
Na 0.500 0.000 0.500
Sr 0.000 0.500 0.500
Sr 0.500 0.000 0.000
Mn 0.500 0.500 0.000
Mn 0.500 0.500 0.500
O 0.271 0.728 0.983
O 0.272 0.273 0.271
O 0.272 0.729 0.517
O 0.273 0.272 0.771
O 0.727 0.728 0.229
O 0.728 0.271 0.483
O 0.728 0.727 0.729
O 0.729 0.272 0.017
! DOS at the Fermi energy ... 11.16 states/eV/cell

=====

Record 5
! PBE with a Hubbard U NaSrMnO4, relaxed; values from VASP
&SYSTEM
  ibrav = 0, nat = 7, ntyp = 4
/
ATOMIC_SPECIES
Na 22.99 Na.upf
Sr 87.62 Sr.upf
Mn 54.94 Mn.upf
O 16.00 O.upf
CELL_PARAMETERS angstrom
-2.869 2.869 4.085
2.869 -2.869 4.085
2.869 2.869 -4.085
ATOMIC_POSITIONS crystal
Na 0.000 0.000 0.000
Sr 0.500 0.500 0.000
Mn 0.750 0.250 0.500
O 0.034 0.551 0.852
O 0.449 0.301 0.483
O 0.699 0.183 0.148
O 0.817 0.966 0.517
! DOS at the Fermi energy ... 0.00 states/eV/cell

=====

Record 6
! PBE with a Hubbard U NaSrYMnO6, relaxed; values from VASP
&SYSTEM
  ibrav = 0, nat = 10, ntyp = 5
/
ATOMIC_SPECIES
Na 22.99 Na.upf
Sr 87.62 Sr.upf
Y 88.91 Y.upf
Mn 54.94 Mn.upf
O 16.00 O.upf
CELL_PARAMETERS angstrom
0.000 4.106 4.106
4.106 0.000 4.106
4.106 4.106 0.000
ATOMIC_POSITIONS crystal
Na 0.000 0.000 0.000
Sr 0.500 0.500 0.500
Y 0.750 0.750 0.750
Mn 0.250 0.250 0.250
O 0.020 0.020 0.480
O 0.020 0.480 0.020
O 0.020 0.480 0.480
O 0.480 0.020 0.020
O 0.480 0.020 0.480
O 0.480 0.480 0.020
! DOS at the Fermi energy ... 4.08 states/eV/cell

=====

Record 7
Entry from Alexandria: crystalline Na2TaMn2O6 at its relaxed geometry (PBE with a Hubbard U). Values from VASP.

Structure (Quantum ESPRESSO input):
```
&SYSTEM
  ibrav = 0, nat = 11, ntyp = 4
/
ATOMIC_SPECIES
Na 22.99 Na.upf
Ta 180.95 Ta.upf
Mn 54.94 Mn.upf
O 16.00 O.upf
CELL_PARAMETERS angstrom
2.619 -4.452 0.000
2.619 4.452 0.000
-1.834 0.000 5.586
ATOMIC_POSITIONS crystal
Na 0.176 0.824 0.000
Na 0.824 0.176 0.000
Ta 0.000 0.000 0.500
Mn 0.339 0.661 0.500
Mn 0.661 0.339 0.500
O 0.064 0.397 0.692
O 0.252 0.252 0.301
O 0.397 0.064 0.692
O 0.603 0.936 0.308
O 0.748 0.748 0.699
O 0.936 0.603 0.308
```

=====

Record 8
! PBE with a Hubbard U Na3TaMn3O8, relaxed; values from VASP
&SYSTEM
  ibrav = 0, nat = 15, ntyp = 4
/
ATOMIC_SPECIES
Na 22.99 Na.upf
Ta 180.95 Ta.upf
Mn 54.94 Mn.upf
O 16.00 O.upf
CELL_PARAMETERS angstrom
5.367 -3.197 0.000
5.367 3.197 0.000
-3.712 0.000 5.550
ATOMIC_POSITIONS crystal
Na 0.000 0.000 0.000
Na 0.000 0.500 0.000
Na 0.500 0.000 0.000
Ta 0.000 0.000 0.500
Mn 0.000 0.500 0.500
Mn 0.500 0.000 0.500
Mn 0.500 0.500 0.500
O 0.200 0.745 0.686
O 0.219 0.219 0.727
O 0.255 0.800 0.314
O 0.261 0.261 0.325
O 0.739 0.739 0.675
O 0.745 0.200 0.686
O 0.781 0.781 0.273
O 0.800 0.255 0.314
! DOS at the Fermi energy ... 0.07 states/eV/cell

=====

What DFT total energy values result from the calculations? In sequence: -6.140; -5.933; -6.539; -5.593; -6.055; -6.637; -7.092; -7.129 eV per atom.